[1]
This record from Alexandria describes a PBEsol-optimized structure of PIr2Se. The functional is meta-GGA SCAN.

It has space group F-43m (No. 216), with a = 6.215 Å, b = 6.215 Å, c = 6.215 Å, α = 90.00°, β = 90.00° and γ = 90.00°. The asymmetric unit holds P at (0.000, 0.000, 0.000), Ir at (0.000, 0.000, 0.500), Ir at (0.250, 0.250, 0.250) and Se at (0.250, 0.250, 0.750).

The magnetization is 0.00 μB per formula unit. Its formation energy from raw total energies is 870.0 meV per atom. The mass density is 13.68 g cm⁻³. Its uncorrected energy is -42.299 eV per atom.

[2]
This record from Alexandria describes a PBEsol-optimized structure of Li4CrFe3O8. The functional is meta-GGA SCAN.

It has space group P2/m (No. 10), with a = 4.876 Å, b = 5.616 Å, c = 4.978 Å, α = 90.00°, β = 109.01° and γ = 90.00°. The asymmetric unit holds Li at (0.000, 0.000, 0.000), Li at (0.000, 0.500, 0.000), Li at (0.500, 0.248, 0.000), Cr at (0.500, 0.500, 0.500), Fe at (0.000, 0.244, 0.500), Fe at (0.500, 0.000, 0.500), O at (0.234, 0.500, 0.723), O at (0.246, 0.000, 0.727) and O at (0.256, 0.245, 0.275).

Its energy above the most stable polymorph in this dataset is 1 meV per atom. The magnetization is 6.00 μB per formula unit. Its formation energy from raw total energies is -2052.4 meV per atom. The mass density is 4.84 g cm⁻³. Its uncorrected energy is -10.314 eV per atom.

[3]
This record from Alexandria describes a PBEsol-optimized structure of MnBeSe2. The functional is meta-GGA SCAN.

It has space group P4/mmm (No. 123), with a = 3.106 Å, b = 3.106 Å, c = 6.086 Å, α = 90.00°, β = 90.00° and γ = 90.00°. The asymmetric unit holds Mn at (0.000, 0.000, 0.000), Be at (0.000, 0.000, 0.500) and Se at (0.500, 0.500, 0.248).

The magnetization is 3.50 μB per formula unit. Its formation energy from raw total energies is 175.9 meV per atom. The mass density is 6.27 g cm⁻³. Its uncorrected energy is -15.516 eV per atom.

> The lowest mass density belongs to which entry?

Li4CrFe3O8

> Look up the mass density of the third one.

6.27 g cm⁻³